Record 1
First-principles (GGA-PBE) data for a geometry-optimized Tl3HgSb2Pb3 structure, as listed in Alexandria.

Structure (CIF):
```
data_Tl3HgSb2Pb3
_space_group_name_H-M_alt 'P -6 2 m'
_space_group_IT_number 189
_space_group_name_Hall 'P -6 -2'
_cell_length_a 8.6088
_cell_length_b 8.6088
_cell_length_c 4.3442
_cell_angle_alpha 90.00
_cell_angle_beta 90.00
_cell_angle_gamma 120.00
loop_
_atom_site_label
_atom_site_type_symbol
_atom_site_fract_x
_atom_site_fract_y
_atom_site_fract_z
Tl1 Tl 0.0000 0.7371 0.0000
Hg1 Hg 0.0000 0.0000 0.5000
Sb1 Sb 0.3333 0.6667 0.0000
Pb1 Pb 0.0000 0.4054 0.5000
```

* total magnetic moment: 0.00 μB per cell
* electronic total energy: -0.108 hartree per atom
* raw formation energy: 0.031 eV/atom

Record 2
First-principles (GGA-PBE) data for a geometry-optimized RbGaP3 structure, as listed in Alexandria.

Structure (CIF):
```
data_RbGaP3
_space_group_name_H-M_alt 'P m -3 m'
_space_group_IT_number 221
_space_group_name_Hall '-P 4 2 3'
_cell_length_a 5.535
_cell_length_b 5.535
_cell_length_c 5.535
_cell_angle_alpha 90.00
_cell_angle_beta 90.00
_cell_angle_gamma 90.00
loop_
_atom_site_label
_atom_site_type_symbol
_atom_site_fract_x
_atom_site_fract_y
_atom_site_fract_z
Rb1 Rb 0.000 0.000 0.000
Ga1 Ga 0.500 0.500 0.500
P1 P 0.000 0.000 0.500
```

* total magnetic moment: 0.01 μB per cell
* electronic total energy: -0.077 hartree per atom
* E_form: 1.95 eV/atom
* offset from the most stable computed form: 1399 meV/atom

Record 3
First-principles (GGA-PBE) data for a geometry-optimized RbAg8Se6 structure, as listed in Alexandria.

Structure (CIF):
```
data_RbAg8Se6
_space_group_name_H-M_alt 'R -3'
_space_group_IT_number 148
_space_group_name_Hall '-R 3'
_cell_length_a 7.4276
_cell_length_b 7.4276
_cell_length_c 26.5929
_cell_angle_alpha 90.00
_cell_angle_beta 90.00
_cell_angle_gamma 120.00
loop_
_atom_site_label
_atom_site_type_symbol
_atom_site_fract_x
_atom_site_fract_y
_atom_site_fract_z
Rb1 Rb 0.0000 0.0000 0.0000
Ag1 Ag 0.0000 0.0000 0.4317
Ag2 Ag 0.0306 0.2571 0.1416
Se1 Se 0.0023 0.3010 0.2428
```

* total magnetic moment: 0.00 μB per cell
* electronic total energy: -0.113 hartree per atom
* raw formation energy: -0.108 eV/atom

Record 4
First-principles (GGA-PBE) data for a geometry-optimized Rb3Np2MnSe6 structure, as listed in Alexandria.

Structure (CIF):
```
data_Rb3Np2MnSe6
_space_group_name_H-M_alt 'C 1 2/m 1'
_space_group_IT_number 12
_space_group_name_Hall '-C 2y'
_cell_length_a 7.296
_cell_length_b 12.633
_cell_length_c 8.332
_cell_angle_alpha 90.00
_cell_angle_beta 106.95
_cell_angle_gamma 90.00
loop_
_atom_site_label
_atom_site_type_symbol
_atom_site_fract_x
_atom_site_fract_y
_atom_site_fract_z
Rb1 Rb 0.000 0.000 0.000
Rb2 Rb 0.000 0.334 0.000
Np1 Np 0.000 0.167 0.500
Mn1 Mn 0.000 0.500 0.500
Se1 Se 0.228 0.336 0.691
Se2 Se 0.235 0.000 0.691
```

* total magnetic moment: 4.00 μB per cell
* electronic total energy: -0.220 hartree per atom
* raw formation energy: -1.075 eV/atom

Record 5
First-principles (GGA-PBE) data for a geometry-optimized RbMg2Zn2Ge2 structure, as listed in Alexandria.

Structure (CIF):
```
data_RbMg2Zn2Ge2
_space_group_name_H-M_alt 'R -3 m'
_space_group_IT_number 166
_space_group_name_Hall '-R 3 2"'
_cell_length_a 4.5335
_cell_length_b 4.5335
_cell_length_c 28.3831
_cell_angle_alpha 90.00
_cell_angle_beta 90.00
_cell_angle_gamma 120.00
loop_
_atom_site_label
_atom_site_type_symbol
_atom_site_fract_x
_atom_site_fract_y
_atom_site_fract_z
Rb1 Rb 0.0000 0.0000 0.0000
Mg1 Mg 0.0000 0.0000 0.1396
Zn1 Zn 0.0000 0.0000 0.4411
Ge1 Ge 0.0000 0.0000 0.2402
```

* total magnetic moment: 0.00 μB per cell
* electronic total energy: -0.089 hartree per atom
* E_form: -0.14 eV/atom

Record 6
First-principles (GGA-PBE) data for a geometry-optimized TbCeNd4Se8 structure, as listed in Alexandria.

Structure (CIF):
```
data_TbCeNd4Se8
_space_group_name_H-M_alt 'R 3 m'
_space_group_IT_number 160
_space_group_name_Hall 'R 3 -2"'
_cell_length_a 8.7065
_cell_length_b 8.7065
_cell_length_c 21.1602
_cell_angle_alpha 90.00
_cell_angle_beta 90.00
_cell_angle_gamma 120.00
loop_
_atom_site_label
_atom_site_type_symbol
_atom_site_fract_x
_atom_site_fract_y
_atom_site_fract_z
Tb1 Tb 0.0000 0.0000 0.0000
Ce1 Ce 0.0000 0.0000 0.6240
Nd1 Nd 0.0000 0.0000 0.3769
Nd2 Nd 0.0002 0.5001 0.5004
Se1 Se 0.0000 0.0000 0.2438
Se2 Se 0.0000 0.0000 0.7585
Se3 Se 0.0263 0.5131 0.7503
Se4 Se 0.1812 0.3624 0.5832
```

* total magnetic moment: 5.04 μB per cell
* electronic total energy: -0.214 hartree per atom
* raw formation energy: -1.712 eV/atom

Record 7
First-principles (GGA-PBE) data for a geometry-optimized CsBa2CrCl8 structure, as listed in Alexandria.

Structure (CIF):
```
data_CsBa2CrCl8
_space_group_name_H-M_alt 'P -1'
_space_group_IT_number 2
_space_group_name_Hall '-P 1'
_cell_length_a 6.473
_cell_length_b 7.103
_cell_length_c 9.303
_cell_angle_alpha 71.87
_cell_angle_beta 75.01
_cell_angle_gamma 70.62
loop_
_atom_site_label
_atom_site_type_symbol
_atom_site_fract_x
_atom_site_fract_y
_atom_site_fract_z
Cs1 Cs 0.000 0.000 0.000
Ba1 Ba 0.390 0.378 0.287
Cr1 Cr 0.000 0.000 0.500
Cl1 Cl 0.051 0.239 0.610
Cl2 Cl 0.070 0.727 0.723
Cl3 Cl 0.381 0.898 0.399
Cl4 Cl 0.457 0.283 0.976
```

* total magnetic moment: 2.99 μB per cell
* electronic total energy: -0.160 hartree per atom
* raw formation energy: -1.938 eV/atom

Record 8
First-principles (GGA-PBE) data for a geometry-optimized Sc5GaSn4 structure, as listed in Alexandria.

Structure (CIF):
```
data_Sc5GaSn4
_space_group_name_H-M_alt 'I 4'
_space_group_IT_number 79
_space_group_name_Hall 'I 4'
_cell_length_a 9.064
_cell_length_b 9.064
_cell_length_c 5.927
_cell_angle_alpha 90.00
_cell_angle_beta 90.00
_cell_angle_gamma 90.00
loop_
_atom_site_label
_atom_site_type_symbol
_atom_site_fract_x
_atom_site_fract_y
_atom_site_fract_z
Sc1 Sc 0.000 0.000 0.000
Sc2 Sc 0.083 0.688 0.270
Ga1 Ga 0.000 0.000 0.480
Sn1 Sn 0.101 0.730 0.768
```

* total magnetic moment: 0.00 μB per cell
* electronic total energy: -0.200 hartree per atom
* E_form: -0.36 eV/atom

Record 9
First-principles (GGA-PBE) data for a geometry-optimized Ag2MoCl structure, as listed in Alexandria.

Structure (CIF):
```
data_Ag2MoCl
_space_group_name_H-M_alt 'I m m 2'
_space_group_IT_number 44
_space_group_name_Hall 'I 2 -2'
_cell_length_a 2.881
_cell_length_b 4.539
_cell_length_c 13.393
_cell_angle_alpha 90.00
_cell_angle_beta 90.00
_cell_angle_gamma 90.00
loop_
_atom_site_label
_atom_site_type_symbol
_atom_site_fract_x
_atom_site_fract_y
_atom_site_fract_z
Ag1 Ag 0.000 0.000 0.000
Ag2 Ag 0.000 0.500 0.125
Mo1 Mo 0.000 0.000 0.436
Cl1 Cl 0.000 0.500 0.792
```

* total magnetic moment: 0.00 μB per cell
* electronic total energy: -0.156 hartree per atom
* offset from the most stable computed form: 235 meV/atom
* raw formation energy: 0.348 eV/atom

Record 10
First-principles (GGA-PBE) data for a geometry-optimized OsO3 structure, as listed in Alexandria.

Structure (CIF):
```
data_OsO3
_space_group_name_H-M_alt 'I -4'
_space_group_IT_number 82
_space_group_name_Hall 'I -4'
_cell_length_a 7.888
_cell_length_b 7.888
_cell_length_c 6.557
_cell_angle_alpha 90.00
_cell_angle_beta 90.00
_cell_angle_gamma 90.00
loop_
_atom_site_label
_atom_site_type_symbol
_atom_site_fract_x
_atom_site_fract_y
_atom_site_fract_z
Os1 Os 0.012 0.266 0.406
O1 O 0.035 0.654 0.108
O2 O 0.082 0.868 0.674
O3 O 0.201 0.213 0.620
```

* total magnetic moment: 0.00 μB per cell
* electronic total energy: -0.258 hartree per atom
* raw formation energy: -0.487 eV/atom

Record 11
First-principles (GGA-PBE) data for a geometry-optimized Ac2ErPO8 structure, as listed in Alexandria.

Structure (CIF):
```
data_Ac2ErPO8
_space_group_name_H-M_alt 'P -3 m 1'
_space_group_IT_number 164
_space_group_name_Hall '-P 3 2"'
_cell_length_a 5.5605
_cell_length_b 5.5605
_cell_length_c 6.0688
_cell_angle_alpha 90.00
_cell_angle_beta 90.00
_cell_angle_gamma 120.00
loop_
_atom_site_label
_atom_site_type_symbol
_atom_site_fract_x
_atom_site_fract_y
_atom_site_fract_z
Ac1 Ac 0.3333 0.6667 0.3584
Er1 Er 0.0000 0.0000 0.0000
P1 P 0.0000 0.0000 0.5000
O1 O 0.1440 0.2881 0.6710
O2 O 0.3333 0.6667 0.0033
```

* total magnetic moment: 2.07 μB per cell
* electronic total energy: -0.265 hartree per atom
* raw formation energy: -2.383 eV/atom

Record 12
First-principles (GGA-PBE) data for a geometry-optimized ScNi2Mo structure, as listed in Alexandria.

Structure (CIF):
```
data_ScNi2Mo
_space_group_name_H-M_alt 'F m -3 m'
_space_group_IT_number 225
_space_group_name_Hall '-F 4 2 3'
_cell_length_a 6.146
_cell_length_b 6.146
_cell_length_c 6.146
_cell_angle_alpha 90.00
_cell_angle_beta 90.00
_cell_angle_gamma 90.00
loop_
_atom_site_label
_atom_site_type_symbol
_atom_site_fract_x
_atom_site_fract_y
_atom_site_fract_z
Sc1 Sc 0.000 0.000 0.000
Ni1 Ni 0.250 0.250 0.250
Mo1 Mo 0.000 0.000 0.500
```

* total magnetic moment: 0.00 μB per cell
* electronic total energy: -0.265 hartree per atom
* E_form: -0.04 eV/atom
* offset from the most stable computed form: 109 meV/atom